No. 1
! LuSi | the Alexandria database | PBE-GGA | relaxed; values from VASP
! - Fermi-level density of states: 5.45 states/eV/cell
&SYSTEM
  ibrav = 0, nat = 8, ntyp = 2
/
ATOMIC_SPECIES
Lu 174.97 Lu.upf
Si 28.09 Si.upf
CELL_PARAMETERS angstrom
2.094 -6.251 0.000
2.094 6.251 0.000
0.000 0.000 6.204
ATOMIC_POSITIONS crystal
Lu 0.050 0.950 0.750
Lu 0.224 0.776 0.250
Lu 0.776 0.224 0.750
Lu 0.950 0.050 0.250
Si 0.401 0.599 0.552
Si 0.401 0.599 0.948
Si 0.599 0.401 0.052
Si 0.599 0.401 0.448

***

No. 2
! EuPd3 | the Alexandria database | PBE-GGA | relaxed; values from VASP
! - Fermi-level density of states: 13.12 states/eV/cell
! - Distance to the lowest polymorph of the same formula: 0.061 eV/atom
&SYSTEM
  ibrav = 0, nat = 4, ntyp = 2
/
ATOMIC_SPECIES
Eu 151.96 Eu.upf
Pd 106.42 Pd.upf
CELL_PARAMETERS angstrom
-2.141 2.141 4.065
2.141 -2.141 4.065
2.141 2.141 -4.065
ATOMIC_POSITIONS crystal
Eu 0.000 0.000 0.000
Pd 0.250 0.750 0.500
Pd 0.500 0.500 0.000
Pd 0.750 0.250 0.500

***

No. 3
! LaOsRh | the Alexandria database | PBE-GGA | relaxed; values from VASP
! - Fermi-level density of states: 4.72 states/eV/cell
! - Distance to the lowest polymorph of the same formula: 0.369 eV/atom
&SYSTEM
  ibrav = 0, nat = 3, ntyp = 3
/
ATOMIC_SPECIES
La 138.91 La.upf
Os 190.23 Os.upf
Rh 102.91 Rh.upf
CELL_PARAMETERS angstrom
2.905 0.000 0.000
-1.453 2.516 0.000
0.000 0.000 7.588
ATOMIC_POSITIONS crystal
La 0.000 0.000 0.000
Os 0.667 0.333 0.368
Rh 0.333 0.667 0.638

***

No. 4
! CoCu2Cl5 | the Alexandria database | PBE-GGA | relaxed; values from VASP
! - Fermi-level density of states: 4.98 states/eV/cell
&SYSTEM
  ibrav = 0, nat = 8, ntyp = 3
/
ATOMIC_SPECIES
Co 58.93 Co.upf
Cu 63.55 Cu.upf
Cl 35.45 Cl.upf
CELL_PARAMETERS angstrom
6.042 -3.517 0.000
6.042 3.517 0.000
-2.149 0.000 5.598
ATOMIC_POSITIONS crystal
Co 0.000 0.000 0.000
Cu 0.181 0.698 0.603
Cu 0.698 0.181 0.603
Cl 0.352 0.833 0.953
Cl 0.364 0.364 0.392
Cl 0.819 0.819 0.700
Cl 0.833 0.352 0.953
Cl 0.996 0.996 0.369

***

No. 5
! Ti2CuSnB | the Alexandria database | PBE-GGA | relaxed; values from VASP
! - Fermi-level density of states: 2.82 states/eV/cell
&SYSTEM
  ibrav = 0, nat = 5, ntyp = 4
/
ATOMIC_SPECIES
Ti 47.87 Ti.upf
Cu 63.55 Cu.upf
Sn 118.71 Sn.upf
B 10.81 B.upf
CELL_PARAMETERS angstrom
5.123 0.000 0.000
0.000 5.123 0.000
0.000 0.000 4.039
ATOMIC_POSITIONS crystal
Ti 0.000 0.500 0.000
Ti 0.500 0.000 0.000
Cu 0.000 0.000 0.500
Sn 0.500 0.500 0.000
B 0.500 0.500 0.500

***

No. 6
! CeY2Sc | the Alexandria database | PBE-GGA | relaxed; values from VASP
! - Fermi-level density of states: 7.65 states/eV/cell
! - Distance to the lowest polymorph of the same formula: 0.025 eV/atom
&SYSTEM
  ibrav = 0, nat = 4, ntyp = 3
/
ATOMIC_SPECIES
Ce 140.12 Ce.upf
Y 88.91 Y.upf
Sc 44.96 Sc.upf
CELL_PARAMETERS angstrom
4.914 0.000 0.000
0.000 4.914 0.000
0.000 0.000 4.924
ATOMIC_POSITIONS crystal
Ce 0.000 0.000 0.000
Y 0.000 0.500 0.500
Y 0.500 0.000 0.500
Sc 0.500 0.500 0.000

***

No. 7
! Tm2MgO | the Alexandria database | PBE-GGA | relaxed; values from VASP
! - Fermi-level density of states: 2.98 states/eV/cell
! - Distance to the lowest polymorph of the same formula: 0.492 eV/atom
&SYSTEM
  ibrav = 0, nat = 4, ntyp = 3
/
ATOMIC_SPECIES
Tm 168.93 Tm.upf
Mg 24.30 Mg.upf
O 16.00 O.upf
CELL_PARAMETERS angstrom
3.030 0.000 0.000
0.000 3.030 0.000
0.000 0.000 8.250
ATOMIC_POSITIONS crystal
Tm 0.000 0.000 0.186
Tm 0.000 0.000 0.814
Mg 0.500 0.500 0.500
O 0.500 0.500 0.000

***

No. 8
! CaZnAs2 | the Alexandria database | PBE-GGA | relaxed; values from VASP
! - Fermi-level density of states: 2.96 states/eV/cell
&SYSTEM
  ibrav = 0, nat = 4, ntyp = 3
/
ATOMIC_SPECIES
Ca 40.08 Ca.upf
Zn 65.41 Zn.upf
As 74.92 As.upf
CELL_PARAMETERS angstrom
2.185 1.261 5.236
-2.185 1.261 5.236
0.000 -2.523 5.236
ATOMIC_POSITIONS crystal
Ca 0.000 0.000 0.000
Zn 0.500 0.500 0.500
As 0.232 0.232 0.232
As 0.768 0.768 0.768

***

No. 9
! LiAcNdAu | the Alexandria database | PBE-GGA | relaxed; values from VASP
! - Fermi-level density of states: 4.82 states/eV/cell
&SYSTEM
  ibrav = 0, nat = 4, ntyp = 4
/
ATOMIC_SPECIES
Li 6.94 Li.upf
Ac 227.00 Ac.upf
Nd 144.24 Nd.upf
Au 196.97 Au.upf
CELL_PARAMETERS angstrom
0.000 3.847 3.847
3.847 0.000 3.847
3.847 3.847 0.000
ATOMIC_POSITIONS crystal
Li 0.000 0.000 0.000
Ac 0.750 0.750 0.750
Nd 0.250 0.250 0.250
Au 0.500 0.500 0.500

***

No. 10
! La2Tb5Y2 | the Alexandria database | PBE-GGA | relaxed; values from VASP
! - Fermi-level density of states: 28.18 states/eV/cell
! - Distance to the lowest polymorph of the same formula: 0.000 eV/atom
&SYSTEM
  ibrav = 0, nat = 18, ntyp = 3
/
ATOMIC_SPECIES
La 138.91 La.upf
Tb 158.93 Tb.upf
Y 88.91 Y.upf
CELL_PARAMETERS angstrom
-7.502 5.999 3.377
7.502 -5.999 3.377
7.502 5.999 -3.377
ATOMIC_POSITIONS crystal
La 0.000 0.000 0.000
La 0.000 0.500 0.500
La 0.912 0.668 0.744
La 0.923 0.168 0.256
Tb 0.048 0.360 0.795
Tb 0.048 0.753 0.188
Tb 0.345 0.255 0.375
Tb 0.345 0.470 0.590
Tb 0.370 0.862 0.008
Tb 0.565 0.253 0.205
Tb 0.565 0.860 0.812
Tb 0.854 0.362 0.992
Tb 0.880 0.755 0.410
Tb 0.880 0.970 0.625
Y 0.454 0.582 0.123
Y 0.454 0.831 0.372
Y 0.459 0.082 0.628
Y 0.459 0.331 0.877

***

No. 11
! TiCo3H | the Alexandria database | PBE-GGA | relaxed; values from VASP
! - Fermi-level density of states: 6.87 states/eV/cell
! - Distance to the lowest polymorph of the same formula: 2.026 eV/atom
&SYSTEM
  ibrav = 0, nat = 5, ntyp = 3
/
ATOMIC_SPECIES
Ti 47.87 Ti.upf
Co 58.93 Co.upf
H 1.01 H.upf
CELL_PARAMETERS angstrom
4.302 0.000 0.000
0.000 4.302 0.000
0.000 0.000 4.302
ATOMIC_POSITIONS crystal
Ti 0.000 0.000 0.000
Co 0.000 0.000 0.500
Co 0.000 0.500 0.000
Co 0.500 0.000 0.000
H 0.500 0.500 0.500

***

No. 12
! Li4AlSn5 | the Alexandria database | PBE-GGA | relaxed; values from VASP
! - Fermi-level density of states: 2.18 states/eV/cell
&SYSTEM
  ibrav = 0, nat = 10, ntyp = 3
/
ATOMIC_SPECIES
Li 6.94 Li.upf
Al 26.98 Al.upf
Sn 118.71 Sn.upf
CELL_PARAMETERS angstrom
3.574 0.000 0.000
0.000 3.574 0.000
0.000 0.000 16.632
ATOMIC_POSITIONS crystal
Li 0.000 0.000 0.097
Li 0.000 0.000 0.297
Li 0.000 0.000 0.703
Li 0.000 0.000 0.903
Al 0.000 0.000 0.500
Sn 0.500 0.500 0.000
Sn 0.500 0.500 0.198
Sn 0.500 0.500 0.402
Sn 0.500 0.500 0.598
Sn 0.500 0.500 0.802

***

No. 13
! Nd4Dy3Cd | the Alexandria database | PBE-GGA | relaxed; values from VASP
! - Fermi-level density of states: 13.81 states/eV/cell
&SYSTEM
  ibrav = 0, nat = 8, ntyp = 3
/
ATOMIC_SPECIES
Nd 144.24 Nd.upf
Dy 162.50 Dy.upf
Cd 112.41 Cd.upf
CELL_PARAMETERS angstrom
4.137 0.000 0.000
0.000 4.137 0.000
0.000 0.000 15.029
ATOMIC_POSITIONS crystal
Nd 0.000 0.000 0.116
Nd 0.000 0.000 0.377
Nd 0.000 0.000 0.623
Nd 0.000 0.000 0.884
Dy 0.500 0.500 0.250
Dy 0.500 0.500 0.500
Dy 0.500 0.500 0.750
Cd 0.500 0.500 0.000

***

No. 14
! Hf2ZrRu | the Alexandria database | PBE-GGA | relaxed; values from VASP
! - Fermi-level density of states: 6.02 states/eV/cell
! - Distance to the lowest polymorph of the same formula: 0.226 eV/atom
&SYSTEM
  ibrav = 0, nat = 4, ntyp = 3
/
ATOMIC_SPECIES
Hf 178.49 Hf.upf
Zr 91.22 Zr.upf
Ru 101.07 Ru.upf
CELL_PARAMETERS angstrom
0.000 3.373 3.373
3.373 0.000 3.373
3.373 3.373 0.000
ATOMIC_POSITIONS crystal
Hf 0.250 0.250 0.250
Hf 0.750 0.750 0.750
Zr 0.000 0.000 0.000
Ru 0.500 0.500 0.500

***

No. 15
! NaCu3As | the Alexandria database | PBE-GGA | relaxed; values from VASP
! - Fermi-level density of states: 1.79 states/eV/cell
! - Distance to the lowest polymorph of the same formula: 0.000 eV/atom
&SYSTEM
  ibrav = 0, nat = 5, ntyp = 3
/
ATOMIC_SPECIES
Na 22.99 Na.upf
Cu 63.55 Cu.upf
As 74.92 As.upf
CELL_PARAMETERS angstrom
4.594 0.000 0.000
0.000 4.594 0.000
0.000 0.000 4.594
ATOMIC_POSITIONS crystal
Na 0.000 0.000 0.000
Cu 0.000 0.500 0.500
Cu 0.500 0.000 0.500
Cu 0.500 0.500 0.000
As 0.500 0.500 0.500

***

No. 16
! CeYTm2N4 | the Alexandria database | PBE-GGA | relaxed; values from VASP
! - Fermi-level density of states: 3.42 states/eV/cell
&SYSTEM
  ibrav = 0, nat = 8, ntyp = 4
/
ATOMIC_SPECIES
Ce 140.12 Ce.upf
Y 88.91 Y.upf
Tm 168.93 Tm.upf
N 14.01 N.upf
CELL_PARAMETERS angstrom
5.988 0.000 0.000
0.000 3.464 0.000
-1.979 0.000 5.654
ATOMIC_POSITIONS crystal
Ce 0.000 0.000 0.000
Y 0.500 0.500 0.000
Tm 0.000 0.500 0.500
Tm 0.500 0.000 0.500
N 0.246 0.000 0.746
N 0.252 0.500 0.256
N 0.748 0.500 0.744
N 0.754 0.000 0.254

***

No. 17
! PrYTh2 | the Alexandria database | PBE-GGA | relaxed; values from VASP
! - Fermi-level density of states: 7.49 states/eV/cell
! - Distance to the lowest polymorph of the same formula: 0.170 eV/atom
&SYSTEM
  ibrav = 0, nat = 4, ntyp = 3
/
ATOMIC_SPECIES
Pr 140.91 Pr.upf
Y 88.91 Y.upf
Th 232.04 Th.upf
CELL_PARAMETERS angstrom
0.000 4.048 4.048
4.048 0.000 4.048
4.048 4.048 0.000
ATOMIC_POSITIONS crystal
Pr 0.000 0.000 0.000
Y 0.500 0.500 0.500
Th 0.250 0.250 0.250
Th 0.750 0.750 0.750

***

No. 18
! ZrPaPb2 | the Alexandria database | PBE-GGA | relaxed; values from VASP
! - Fermi-level density of states: 6.36 states/eV/cell
! - Distance to the lowest polymorph of the same formula: 0.037 eV/atom
&SYSTEM
  ibrav = 0, nat = 4, ntyp = 3
/
ATOMIC_SPECIES
Zr 91.22 Zr.upf
Pa 231.04 Pa.upf
Pb 207.20 Pb.upf
CELL_PARAMETERS angstrom
0.000 3.728 3.728
3.728 0.000 3.728
3.728 3.728 0.000
ATOMIC_POSITIONS crystal
Zr 0.000 0.000 0.000
Pa 0.500 0.500 0.500
Pb 0.250 0.250 0.250
Pb 0.750 0.750 0.750

***

No. 19
! Mg2CrRh | the Alexandria database | PBE-GGA | relaxed; values from VASP
! - Fermi-level density of states: 2.41 states/eV/cell
! - Distance to the lowest polymorph of the same formula: 0.053 eV/atom
&SYSTEM
  ibrav = 0, nat = 4, ntyp = 3
/
ATOMIC_SPECIES
Mg 24.30 Mg.upf
Cr 52.00 Cr.upf
Rh 102.91 Rh.upf
CELL_PARAMETERS angstrom
4.093 0.000 0.000
0.000 4.093 0.000
0.000 0.000 3.959
ATOMIC_POSITIONS crystal
Mg 0.000 0.500 0.000
Mg 0.500 0.000 0.000
Cr 0.000 0.000 0.500
Rh 0.500 0.500 0.500

***

no.,total energy (eV/atom)
1,-5.7426
2,-6.9234
3,-7.2849
4,-3.5779
5,-4.5680
6,-6.2091
7,-4.7527
8,-3.4504
9,-3.8201
10,-4.9068
11,-4.7620
12,-3.3518
13,-4.2084
14,-9.5822
15,-3.4374
16,-8.5253
17,-6.3222
18,-6.2981
19,-5.0452